Entry 1:
Density functional theory data (GGA-PBE) for Ho3NO2 after structural relaxation.

```
data_Ho3NO2
_cell_length_a 3.705
_cell_length_b 3.705
_cell_length_c 9.792
_cell_angle_alpha 90.06
_cell_angle_beta 90.06
_cell_angle_gamma 128.44
_symmetry_space_group_name_H-M 'P 1'
_symmetry_Int_Tables_number 1
_symmetry_space_group_name_Hall 'P 1'
loop_
_atom_site_label
_atom_site_fract_x
_atom_site_fract_y
_atom_site_fract_z
_atom_site_occupancy
O1 0.500 0.500 0.338 1
Ho1 0.997 0.997 0.838 1
O2 0.500 0.500 0.662 1
Ho2 0.000 0.000 0.500 1
N1 0.500 0.500 0.000 1
Ho3 0.003 0.003 0.162 1
```

## Properties
As for the total energy: -7.388 eV/atom. The space group is C2/m, No. 12.

---

Entry 2:
Density functional theory data (GGA-PBE) for HoPbNO after structural relaxation.

```
data_HoPbNO
_cell_length_a 3.690
_cell_length_b 5.947
_cell_length_c 7.142
_cell_angle_alpha 90.00
_cell_angle_beta 90.00
_cell_angle_gamma 90.00
_symmetry_space_group_name_H-M 'P 1'
_symmetry_Int_Tables_number 1
_symmetry_space_group_name_Hall 'P 1'
loop_
_atom_site_label
_atom_site_fract_x
_atom_site_fract_y
_atom_site_fract_z
_atom_site_occupancy
Pb1 0.500 0.994 0.161 1
N1 0.000 0.884 0.344 1
N2 0.000 0.384 0.656 1
Ho1 0.000 0.004 0.638 1
Pb2 0.500 0.494 0.839 1
O1 0.500 0.372 0.261 1
O2 0.500 0.872 0.739 1
Ho2 0.000 0.504 0.362 1
```

## Properties
As for the total energy: -6.758 eV/atom. The space group is Pmc2_1, No. 26. The calculation puts the distance to the lowest polymorph of the same formula at 0.0 meV/atom.

---

What is the formula in the second record?
HoPbNO